The following is a DFT calculation (PBE-GGA) of an optimized crystal structure of UTlBr4.

Output
**E**: -4.52 eV/atom
**Energy above the most stable polymorph in this dataset**: 0.0165 eV per atom
**Spin magnetization**: 6.000 Bohr magnetons per cell

Cell and atoms, written as CIF:
```
data_UTlBr4
_chemical_formula_sum 'U2 Tl2 Br8'
_symmetry_space_group_name_H-M 'C 1 2/m 1'
_symmetry_Int_Tables_number 12
_cell_length_a 13.3989
_cell_length_b 4.4432
_cell_length_c 8.5102
_cell_angle_alpha 90.00
_cell_angle_beta 103.70
_cell_angle_gamma 90.00
loop_
_symmetry_equiv_pos_as_xyz
'x,y,z'
'-x,-y,-z'
'-x,y,-z'
'x,-y,z'
'x+1/2,y+1/2,z'
'-x+1/2,-y+1/2,-z'
'-x+1/2,y+1/2,-z'
'x+1/2,-y+1/2,z'
loop_
_atom_site_label
_atom_site_type_symbol
_atom_site_fract_x
_atom_site_fract_y
_atom_site_fract_z
U1 U 0.0000 0.0000 0.0000
Tl1 Tl 0.0000 0.5000 0.5000
Br1 Br 0.1206 0.5000 0.9068
Br2 Br 0.1230 0.0000 0.3243
```